Record 1
meta-GGA SCAN ReSb3N, PBEsol geometry; distance to the lowest polymorph of the same formula = 0.2949 eV per atom; crystal system = cubic; VASP energy = -36.920 eV per atom; space-group type = Pm-3m (221); calculated volume = 26.25 A^3/atom; energy relative to the elements, uncorrected = 146.1 kJ/mol of atoms
1.0
5.082 0.000 0.000
0.000 5.082 0.000
0.000 0.000 5.082
Re Sb N
1 3 1
Direct
0.000 0.000 0.000
0.000 0.000 0.500
0.000 0.500 0.000
0.500 0.000 0.000
0.500 0.500 0.500



Record 2
meta-GGA SCAN Er2Ni12P7, PBEsol geometry; crystal system = hexagonal; VASP energy = -18.308 eV per atom; space-group type = P-6 (174); calculated volume = 11.87 A^3/atom; energy of formation from the pure elements = -805 meV/atom
1.0
8.912 0.000 0.000
-4.456 7.718 0.000
0.000 0.000 3.624
Er Ni P
2 12 7
Direct
0.000 0.000 0.000
0.333 0.667 0.500
0.041 0.272 0.500
0.097 0.714 0.000
0.231 0.959 0.500
0.286 0.383 0.000
0.451 0.212 0.000
0.515 0.457 0.500
0.543 0.058 0.500
0.617 0.903 0.000
0.728 0.769 0.500
0.761 0.549 0.000
0.788 0.239 0.000
0.942 0.485 0.500
0.073 0.444 0.000
0.260 0.219 0.500
0.371 0.927 0.000
0.556 0.629 0.000
0.667 0.333 0.500
0.781 0.041 0.500
0.959 0.740 0.500



Record 3
meta-GGA SCAN CoRuPt4, PBEsol geometry; crystal system = cubic; VASP energy = -55.157 eV per atom; space-group type = F-43m (216); calculated volume = 15.71 A^3/atom; energy of formation from the pure elements = 326 meV/atom
1.0
0.000 3.612 3.612
3.612 0.000 3.612
3.612 3.612 0.000
Co Ru Pt
1 1 4
Direct
0.000 0.000 0.000
0.750 0.750 0.750
0.375 0.375 0.375
0.375 0.375 0.875
0.375 0.875 0.375
0.875 0.375 0.375



Record 4
meta-GGA SCAN LuB4, PBEsol geometry; crystal system = tetragonal; VASP energy = -17.633 eV per atom; space-group type = P4/mbm (127); calculated volume = 9.60 A^3/atom; energy of formation from the pure elements = -620 meV/atom
1.0
6.984 0.000 0.000
0.000 6.984 0.000
0.000 0.000 3.936
Lu B
4 16
Direct
0.182 0.318 0.000
0.318 0.818 0.000
0.682 0.182 0.000
0.818 0.682 0.000
0.000 0.000 0.202
0.000 0.000 0.798
0.039 0.823 0.500
0.086 0.586 0.500
0.177 0.039 0.500
0.323 0.539 0.500
0.414 0.086 0.500
0.461 0.323 0.500
0.500 0.500 0.202
0.500 0.500 0.798
0.539 0.677 0.500
0.586 0.914 0.500
0.677 0.461 0.500
0.823 0.961 0.500
0.914 0.414 0.500
0.961 0.177 0.500



Record 5
meta-GGA SCAN YTaBr3, PBEsol geometry; crystal system = cubic; VASP energy = -30.430 eV per atom; space-group type = Pm-3m (221); calculated volume = 25.85 A^3/atom; energy relative to the elements, uncorrected = 12.6 kJ/mol of atoms
1.0
5.056 0.000 0.000
0.000 5.056 0.000
0.000 0.000 5.056
Y Ta Br
1 1 3
Direct
0.000 0.000 0.000
0.500 0.500 0.500
0.000 0.500 0.500
0.500 0.000 0.500
0.500 0.500 0.000



Record 6
meta-GGA SCAN LiHg2Rh, PBEsol geometry; crystal system = tetragonal; VASP energy = -43.256 eV per atom; space-group type = I-4m2 (119); calculated volume = 16.57 A^3/atom; energy of formation from the pure elements = -132 meV/atom
1.0
-1.983 1.983 4.215
1.983 -1.983 4.215
1.983 1.983 -4.215
Li Hg Rh
1 2 1
Direct
0.000 0.000 0.000
0.250 0.750 0.500
0.500 0.500 0.000
0.750 0.250 0.500